First-principles (GGA-PBE) data for crystalline Tb8Sm3Dy4 at its relaxed geometry, as listed in Alexandria via LeMat-Bulk.

Cell lengths 6.7689, 9.2596, 9.2596 Å; angles 87.17, 111.42, 111.42 degrees
With the nearest neighbours (Å) after each atom.
Atoms (fractional coordinates):
Tb: 0.5439 0.2703 0.2703  3 Sm 3.20-3.24, 4 Tb 3.23-3.57, 1 Dy 3.49
Tb: 0.0000 0.6428 0.3572  7 Tb 3.57-3.72, 2 Dy 3.62, 4 Sm 3.62-3.84
Tb: 0.0116 0.2612 0.2612  4 Dy 3.19-3.47, 2 Tb 3.23-3.54, 1 Sm 3.24
Tb: 0.5000 0.7469 0.2531  3 Sm 3.15-3.35, 3 Dy 3.23-3.36
Tb: 0.5000 0.2531 0.7469  3 Sm 3.15-3.35, 3 Dy 3.23-3.36
Tb: 0.9884 0.7388 0.7388  4 Dy 3.19-3.47, 2 Tb 3.23-3.54, 1 Sm 3.24
Tb: 0.0000 0.3572 0.6428  7 Tb 3.57-3.72, 2 Dy 3.62, 4 Sm 3.62-3.84
Tb: 0.4561 0.7297 0.7297  3 Sm 3.20-3.24, 4 Tb 3.23-3.57, 1 Dy 3.49
Sm: 0.5000 0.5000 0.0000  4 Tb 3.20-3.35, 2 Dy 3.38
Sm: 0.5000 0.0000 0.5000  4 Tb 3.20-3.35, 2 Dy 3.38
Sm: 0.5000 0.5000 0.5000  6 Tb 3.15-3.24
Dy: 0.5000 0.0000 0.0000  6 Tb 3.23-3.49, 2 Dy 3.38
Dy: 0.0000 0.5000 0.0000  4 Tb 3.19-3.36, 2 Sm 3.38
Dy: 0.0000 0.0000 0.0000  2 Dy 3.38, 4 Tb 3.46-3.64
Dy: 0.0000 0.0000 0.5000  4 Tb 3.19-3.36, 2 Sm 3.38

Summary:
D(E_F) ... 1.91 states/eV/atom
Energy of formation ... 0.388 eV/atom
Total energy ... -4.253 eV/atom